The following is a DFT calculation (GGA-PBE) of a geometry-optimized Cs2CaCoH6 structure. Values from VASP.

Values from the calculation:
Total magnetization, μB per atom: 0.074
Fermi-level density of states, states/eV/cell: 3.42
Space group: P-3m1, No. 164
Total energy, eV/atom: -3.338

```
&SYSTEM
  ibrav = 0, nat = 10, ntyp = 4
/
ATOMIC_SPECIES
Cs 132.91 Cs.upf
Ca 40.08 Ca.upf
Co 58.93 Co.upf
H 1.01 H.upf
ATOMIC_POSITIONS crystal
Cs 0.1413 0.3333 0.6667
Cs 0.8587 0.6667 0.3333
Ca 0.5000 0.0000 0.0000
Co 0.0000 0.0000 0.0000
H 0.8382 0.1164 0.2327
H 0.8382 0.1164 0.8836
H 0.8382 0.7673 0.8836
H 0.1618 0.8836 0.1164
H 0.1618 0.2327 0.1164
H 0.1618 0.8836 0.7673
CELL_PARAMETERS angstrom
-3.3210 -2.4629 -3.7463
4.7542 0.2617 -4.3866
-0.5480 -5.1566 3.8759
```